(1)
## Re3MoI (PBE)

Data for a relaxed Re3MoI crystal.

Unit cell a=4.783 b=4.783 c=4.783 alpha=90.00 beta=90.00 gamma=90.00
Site moments in Bohr magnetons follow the coordinates.
Fractional positions:
Re (0.000, 0.000, 0.500)  0.27
Re (0.500, 0.000, 0.000)  0.30
Re (0.000, 0.500, 0.000)  0.30
Mo (0.000, 0.000, 0.000)  -0.07
I (0.500, 0.500, 0.500)  -0.01

Output
Symmetry: Pm-3m (221)
Raw formation energy: 2475 meV/atom
Calculated total energy: -7.470 eV/atom
Crystal system: cubic
Total moment: 0.185 μB/atom
Offset from the most stable computed form: 0 meV/atom

---

(2)
## ReMo3I (PBE)

Data for a relaxed ReMo3I crystal.

Unit cell a=4.822 b=4.822 c=4.822 alpha=90.00 beta=90.00 gamma=90.00
Fractional positions:
Mo (0.000, 0.000, 0.500)
I (0.500, 0.500, 0.500)
Mo (0.000, 0.500, 0.000)
Re (0.000, 0.000, 0.000)
Mo (0.500, 0.000, 0.000)

Output
Symmetry: Pm-3m (221)
Raw formation energy: 1803 meV/atom
Calculated total energy: -7.495 eV/atom
Crystal system: cubic
Total moment: 0.000 μB/atom
Offset from the most stable computed form: 0 meV/atom

---

(3)
## ReMo2I (PBE)

Data for a relaxed ReMo2I crystal.

Unit cell a=4.592 b=4.592 c=4.592 alpha=60.00 beta=60.00 gamma=60.00
Fractional positions:
Re (0.500, 0.500, 0.500)
Mo (0.250, 0.250, 0.250)
I (0.000, 0.000, 0.000)
Mo (0.750, 0.750, 0.750)

Output
Symmetry: Fm-3m (225)
Raw formation energy: 1011 meV/atom
Calculated total energy: -7.904 eV/atom
Crystal system: cubic
Total moment: 0.000 μB/atom
Offset from the most stable computed form: 0 meV/atom

---

(4)
## ReMo2I (PBE)

Data for a relaxed ReMo2I crystal.

Unit cell a=5.921 b=5.921 c=7.193 alpha=65.70 beta=65.70 gamma=90.00
Fractional positions:
I (0.250, 0.750, 0.500)
Mo (0.875, 0.911, 0.750)
Re (0.750, 0.250, 0.500)
Mo (0.089, 0.625, 0.250)
Mo (0.375, 0.339, 0.750)
Re (0.000, 0.000, 0.000)
Mo (0.661, 0.125, 0.250)
I (0.500, 0.500, 0.000)

Output
Symmetry: I-42d (122)
Raw formation energy: 1437 meV/atom
Calculated total energy: -7.478 eV/atom
Crystal system: tetragonal
Total moment: 0.000 μB/atom
Offset from the most stable computed form: 426 meV/atom

---

(5)
## ReSb2MoI (PBE)

Data for a relaxed ReSb2MoI crystal.

Unit cell a=5.079 b=5.079 c=5.873 alpha=90.00 beta=90.00 gamma=90.00
Site moments in Bohr magnetons follow the coordinates.
Fractional positions:
Sb (0.500, 0.000, 0.000)  -0.07
Mo (0.500, 0.500, 0.500)  3.80
Re (0.000, 0.000, 0.000)  0.23
Sb (0.000, 0.500, 0.000)  -0.07
I (0.000, 0.000, 0.500)  -0.01

Output
Symmetry: P4/mmm (123)
Raw formation energy: 1387 meV/atom
Calculated total energy: -5.228 eV/atom
Crystal system: tetragonal
Total moment: 0.947 μB/atom
Offset from the most stable computed form: 389 meV/atom

---

(6)
## ReSb2MoI (PBE)

Data for a relaxed ReSb2MoI crystal.

Unit cell a=5.143 b=5.252 c=5.143 alpha=90.00 beta=90.00 gamma=90.00
Site moments in Bohr magnetons follow the coordinates.
Fractional positions:
Sb (0.500, 0.000, 0.000)  0.01
Re (0.000, 0.000, 0.000)  -0.17
Sb (0.000, 0.000, 0.500)  -0.01
Mo (0.000, 0.500, 0.000)  2.70
I (0.500, 0.500, 0.500)  0.00

Output
Symmetry: P4/mmm (123)
Raw formation energy: 997 meV/atom
Calculated total energy: -5.618 eV/atom
Crystal system: tetragonal
Total moment: 0.613 μB/atom
Offset from the most stable computed form: 0 meV/atom